A plane-wave DFT calculation with meta-GGA SCAN was carried out for a PBEsol-optimized structure of YSiP2.

Values from the calculation:
Uncorrected energy   -14.451 eV/atom
DOS(E_F)   2.8 states/eV/f.u.
Symmetry   F-43m

Cell lengths 4.6793, 4.6793, 4.6793 Å; angles 60.00, 60.00, 60.00 degrees
Element x y z (fractional)
P1 0.0000 0.0000 0.0000
P2 0.7500 0.7500 0.7500
Si1 0.5000 0.5000 0.5000
Y1 0.2500 0.2500 0.2500